A relaxed Al4Cu2Au5 crystal. Source: Alexandria, functional PBE.

- E (eV per atom) = -3.77
- formation energy from the elements (meV per atom) = -176
- total magnetic moment (μB/f.u.) = 0.00

Cell: 2.9259 7.0563 18.0474 Å, 90.00 90.00 90.00°
Space group Immm (No. 71)
Symmetry-distinct sites (fractional):
Al 0.0000 0.0000 0.2277 x4
Al 0.0000 0.3007 0.5000 x4
Cu 0.0000 0.0000 0.0854 x4
Au 0.0000 0.2213 0.3442 x8
Au 0.0000 0.5000 0.0000 x2